(1)
VASP calculation (PBE) on a geometry-optimized ThSc4 structure.

Summary:
- E_form (eV per atom) = 1.025

Unit cell a=5.381 b=5.381 c=5.381 alpha=90.00 beta=90.00 gamma=90.00
Fractional positions:
Th (0.500, 0.500, 0.500)
Sc (0.500, 0.000, 0.500)
Sc (0.000, 0.500, 0.500)
Sc (0.500, 0.500, 0.000)
Sc (0.000, 0.000, 0.000)

(2)
VASP calculation (PBE) on a geometry-optimized SrTcSb2 structure.

Unit cell a=3.635 b=3.635 c=7.608 alpha=90.00 beta=90.00 gamma=90.00
Fractional positions:
Sr (0.000, 0.000, 0.510)
Sb (0.000, 0.000, 0.952)
Sb (0.500, 0.500, 0.207)
Tc (0.500, 0.500, 0.831)

(3)
VASP calculation (PBE) on a geometry-optimized CaScAl structure.

Summary:
- E_form (eV per atom) = -0.096

Unit cell a=5.586 b=4.471 c=7.558 alpha=72.79 beta=61.59 gamma=66.40
Fractional positions:
Sc (0.099, 0.736, 0.038)
Sc (0.628, 0.037, 0.908)
Ca (0.139, 0.044, 0.382)
Al (0.649, 0.395, 0.170)
Ca (0.588, 0.728, 0.564)
Al (0.078, 0.378, 0.776)

(4)
VASP calculation (PBE) on a geometry-optimized Ac5Ge2N structure.

Unit cell a=6.208 b=7.198 c=14.115 alpha=90.00 beta=90.00 gamma=115.55
Fractional positions:
Ac (0.691, 0.383, 0.250)
Ac (0.309, 0.617, 0.750)
Ac (0.942, 0.884, 0.624)
Ac (0.339, 0.678, 0.393)
Ge (0.180, 0.361, 0.931)
Ac (0.661, 0.322, 0.607)
N (0.205, 0.411, 0.250)
Ac (0.058, 0.116, 0.376)
Ac (0.058, 0.116, 0.124)
Ac (0.661, 0.322, 0.893)
Ac (0.942, 0.884, 0.876)
Ac (0.339, 0.678, 0.107)
N (0.795, 0.589, 0.750)
Ge (0.820, 0.639, 0.431)
Ge (0.820, 0.639, 0.069)
Ge (0.180, 0.361, 0.569)

Values for DOS at the Fermi energy, states/eV per cell, ordered as above
8.3 3.0 4.1 14.2
Values for calculated density, g/cm³, ordered as above
4.4 7.1 2.5 7.6
Values for E above lowest polymorph, eV/f.u., ordered as above
4.96 1.08 0.26 1.30